Entry 1:
This record from the Alexandria database describes a relaxed structure of LaSc2Br. The functional is PBE.

a b c (Å): 3.4458 3.4458 9.1117
angles (deg): 90.00 90.00 90.00
Space group P4/mmm (No. 123)
Asymmetric unit:
1 La 0.0000 0.0000 0.0000 [1 per cell]
2 Sc 0.5000 0.5000 0.2662 [2 per cell]
3 Br 0.0000 0.0000 0.5000 [1 per cell]

The theoretical density is 4.738 Mg/m³. As for the crystal system: tetragonal. The calculation puts the energy above the most stable polymorph in this dataset at 198.6 meV per atom. The calculation puts the energy relative to the elements, uncorrected at -0.267 eV/atom. For the total energy, the calculation gives -5.0831 eV/atom. The magnetization is 0.000 μB/cell.

***

Entry 2:
This record from the Alexandria database describes a relaxed structure of La2ScBr. The functional is PBE.

a b c (Å): 3.5879 4.7276 6.7425
angles (deg): 90.00 90.00 90.00
Space group Pmm2 (No. 25)
Asymmetric unit:
1 La 0.0000 0.0000 0.0000 [1 per cell]
2 La 0.5000 0.5000 0.2208 [1 per cell]
3 Sc 0.0000 0.0000 0.4920 [1 per cell]
4 Br 0.5000 0.5000 0.6974 [1 per cell]

The theoretical density is 5.847 Mg/m³. As for the crystal system: orthorhombic. The calculation puts the energy above the most stable polymorph in this dataset at 303.9 meV per atom. The calculation puts the energy relative to the elements, uncorrected at -0.207 eV/atom. For the total energy, the calculation gives -4.6722 eV/atom. The magnetization is 0.000 μB/cell.

***

Entry 3:
This record from the Alexandria database describes a relaxed structure of LaSc2Br. The functional is PBE.

a b c (Å): 8.5929 8.5929 6.0713
angles (deg): 90.00 90.00 90.00
Space group I-42d (No. 122)
Asymmetric unit:
1 La 0.0000 0.0000 0.0000 [4 per cell]
2 Sc 0.1715 0.2500 0.6250 [8 per cell]
3 Br 0.0000 0.0000 0.5000 [4 per cell]

The theoretical density is 4.574 Mg/m³. As for the crystal system: tetragonal. The calculation puts the energy above the most stable polymorph in this dataset at 231.2 meV per atom. The calculation puts the energy relative to the elements, uncorrected at -0.235 eV/atom. For the total energy, the calculation gives -5.0506 eV/atom. The magnetization is 0.000 μB/cell.

***

Entry 4:
This record from the Alexandria database describes a relaxed structure of La2ScBr. The functional is PBE.

a b c (Å): 3.5628 3.5628 9.3985
angles (deg): 90.00 90.00 90.00
Space group P4mm (No. 99)
Asymmetric unit:
1 La 0.0000 0.0000 0.0000 [1 per cell]
2 La 0.5000 0.5000 0.2850 [1 per cell]
3 Sc 0.0000 0.0000 0.5301 [1 per cell]
4 Br 0.5000 0.5000 0.7354 [1 per cell]

The theoretical density is 5.605 Mg/m³. As for the crystal system: tetragonal. The calculation puts the energy above the most stable polymorph in this dataset at 131.9 meV per atom. The calculation puts the energy relative to the elements, uncorrected at -0.379 eV/atom. For the total energy, the calculation gives -4.8442 eV/atom. The magnetization is 0.000 μB/cell.

***

Entry 5:
This record from the Alexandria database describes a relaxed structure of LaScBr. The functional is PBE.

a b c (Å): 5.0412 5.0412 3.7193
angles (deg): 90.00 90.00 120.00
Space group P-6m2 (No. 187)
Asymmetric unit:
1 La 0.0000 0.0000 0.0000 [1 per cell]
2 Sc 0.6667 0.3333 0.5000 [1 per cell]
3 Br 0.3333 0.6667 0.5000 [1 per cell]

The theoretical density is 5.351 Mg/m³. As for the crystal system: hexagonal. The calculation puts the energy above the most stable polymorph in this dataset at 388.0 meV per atom. The calculation puts the energy relative to the elements, uncorrected at -0.332 eV/atom. For the total energy, the calculation gives -4.6427 eV/atom. The magnetization is 0.002 μB/cell.

***

Entry 6:
This record from the Alexandria database describes a relaxed structure of La2ScBr. The functional is PBE.

a b c (Å): 5.0136 5.0136 9.6875
angles (deg): 90.00 90.00 90.00
Space group I4/mmm (No. 139)
Asymmetric unit:
1 La 0.0000 0.5000 0.2500 [4 per cell]
2 Sc 0.0000 0.0000 0.0000 [2 per cell]
3 Br 0.0000 0.0000 0.5000 [2 per cell]

The theoretical density is 5.492 Mg/m³. As for the crystal system: tetragonal. The calculation puts the energy above the most stable polymorph in this dataset at 412.1 meV per atom. The calculation puts the energy relative to the elements, uncorrected at -0.099 eV/atom. For the total energy, the calculation gives -4.5640 eV/atom. The magnetization is 0.000 μB/cell.

***

Entry 7:
This record from the Alexandria database describes a relaxed structure of LaSc2Br. The functional is PBE.

a b c (Å): 3.4322 5.5268 5.7108
angles (deg): 90.00 90.00 90.00
Space group Pmmm (No. 47)
Asymmetric unit:
1 La 0.0000 0.0000 0.0000 [1 per cell]
2 Sc 0.0000 0.5000 0.5000 [1 per cell]
3 Sc 0.5000 0.0000 0.5000 [1 per cell]
4 Br 0.5000 0.5000 0.0000 [1 per cell]

The theoretical density is 4.732 Mg/m³. As for the crystal system: orthorhombic. The calculation puts the energy above the most stable polymorph in this dataset at 218.8 meV per atom. The calculation puts the energy relative to the elements, uncorrected at -0.247 eV/atom. For the total energy, the calculation gives -5.0630 eV/atom. The magnetization is 0.000 μB/cell.

***

Entry 8:
This record from the Alexandria database describes a relaxed structure of LaSc2Br. The functional is PBE.

a b c (Å): 3.5974 5.8182 5.2088
angles (deg): 90.00 91.89 90.00
Space group P2/m (No. 10)
Asymmetric unit:
1 La 0.0000 0.0000 0.0000 [1 per cell]
2 Sc 0.2976 0.5000 0.7575 [2 per cell]
3 Br 0.5000 0.0000 0.5000 [1 per cell]

The theoretical density is 4.705 Mg/m³. As for the crystal system: monoclinic. The calculation puts the energy above the most stable polymorph in this dataset at 228.8 meV per atom. The calculation puts the energy relative to the elements, uncorrected at -0.237 eV/atom. For the total energy, the calculation gives -5.0529 eV/atom. The magnetization is 0.066 μB/cell.

***

Entry 9:
This record from the Alexandria database describes a relaxed structure of LaScBr. The functional is PBE.

a b c (Å): 6.3003 8.5477 6.4167
angles (deg): 90.00 90.00 90.00
Space group Imma (No. 74)
Asymmetric unit:
1 La 0.0000 0.0000 0.0000 [4 per cell]
2 Sc 0.0000 0.2500 0.3954 [4 per cell]
3 Br 0.2500 0.2500 0.7500 [4 per cell]

The theoretical density is 5.070 Mg/m³. As for the crystal system: orthorhombic. The calculation puts the energy above the most stable polymorph in this dataset at 64.0 meV per atom. The calculation puts the energy relative to the elements, uncorrected at -0.656 eV/atom. For the total energy, the calculation gives -4.9667 eV/atom. The magnetization is 0.002 μB/cell.

***

Entry 10:
This record from the Alexandria database describes a relaxed structure of LaSc2Br. The functional is PBE.

a b c (Å): 12.2456 3.4095 5.7040
angles (deg): 90.00 116.75 90.00
Space group C2/m (No. 12)
Asymmetric unit:
1 La 0.0000 0.0000 0.0000 [2 per cell]
2 Sc 0.2272 0.0000 0.7283 [4 per cell]
3 Br 0.0000 0.5000 0.5000 [2 per cell]

The theoretical density is 4.821 Mg/m³. As for the crystal system: monoclinic. The calculation puts the energy above the most stable polymorph in this dataset at 121.4 meV per atom. The calculation puts the energy relative to the elements, uncorrected at -0.344 eV/atom. For the total energy, the calculation gives -5.1603 eV/atom. The magnetization is 0.001 μB/cell.

***

Entry 11:
This record from the Alexandria database describes a relaxed structure of LaSc2Br. The functional is PBE.

a b c (Å): 4.3173 4.3173 6.1682
angles (deg): 90.00 90.00 90.00
Space group P4/mmm (No. 123)
Asymmetric unit:
1 La 0.0000 0.0000 0.0000 [1 per cell]
2 Sc 0.0000 0.5000 0.5000 [2 per cell]
3 Br 0.5000 0.5000 0.0000 [1 per cell]

The theoretical density is 4.459 Mg/m³. As for the crystal system: tetragonal. The calculation puts the energy above the most stable polymorph in this dataset at 381.7 meV per atom. The calculation puts the energy relative to the elements, uncorrected at -0.084 eV/atom. For the total energy, the calculation gives -4.9001 eV/atom. The magnetization is 2.109 μB/cell.

***

Entry 12:
This record from the Alexandria database describes a relaxed structure of La2ScBr. The functional is PBE.

a b c (Å): 7.7977 7.7977 7.7977
angles (deg): 90.00 90.00 90.00
Space group F-43m (No. 216)
Asymmetric unit:
1 La 0.0000 0.0000 0.0000 [4 per cell]
2 La 0.2500 0.2500 0.2500 [4 per cell]
3 Sc 0.0000 0.0000 0.5000 [4 per cell]
4 Br 0.2500 0.2500 0.7500 [4 per cell]

The theoretical density is 5.641 Mg/m³. As for the crystal system: cubic. The calculation puts the energy above the most stable polymorph in this dataset at 566.2 meV per atom. The calculation puts the energy relative to the elements, uncorrected at 0.055 eV/atom. For the total energy, the calculation gives -4.4098 eV/atom. The magnetization is 6.081 μB/cell.

***

Entry 13:
This record from the Alexandria database describes a relaxed structure of LaScBr. The functional is PBE.

a b c (Å): 3.6355 3.6355 21.8692
angles (deg): 90.00 90.00 120.00
Space group R3m (No. 160, hexagonal axes)
Asymmetric unit:
1 La 0.0000 0.0000 0.0000 [3 per cell]
2 Sc 0.0000 0.0000 0.2091 [3 per cell]
3 Br 0.0000 0.0000 0.4506 [3 per cell]

The theoretical density is 5.249 Mg/m³. As for the crystal system: trigonal. The calculation puts the energy above the most stable polymorph in this dataset at 0.0 meV per atom. The calculation puts the energy relative to the elements, uncorrected at -0.720 eV/atom. For the total energy, the calculation gives -5.0307 eV/atom. The magnetization is 1.492 μB/cell.

***

Entry 14:
This record from the Alexandria database describes a relaxed structure of LaScBr3. The functional is PBE.

a b c (Å): 5.2502 5.2502 5.2502
angles (deg): 90.00 90.00 90.00
Space group Pm-3m (No. 221)
Asymmetric unit:
1 La 0.0000 0.0000 0.0000 [1 per cell]
2 Sc 0.5000 0.5000 0.5000 [1 per cell]
3 Br 0.0000 0.5000 0.5000 [3 per cell]

The theoretical density is 4.860 Mg/m³. As for the crystal system: cubic. The calculation puts the energy above the most stable polymorph in this dataset at 0.0 meV per atom. The calculation puts the energy relative to the elements, uncorrected at -0.960 eV/atom. For the total energy, the calculation gives -4.2160 eV/atom. The magnetization is 1.451 μB/cell.

***

Entry 15:
This record from the Alexandria database describes a relaxed structure of La2ScBr. The functional is PBE.

a b c (Å): 12.3320 3.5172 5.7603
angles (deg): 90.00 109.45 90.00
Space group Cm (No. 8)
Asymmetric unit:
1 La 0.0000 0.0000 0.0000 [2 per cell]
2 La 0.2137 0.0000 0.6513 [2 per cell]
3 Sc 0.2603 0.5000 0.1888 [2 per cell]
4 Br 0.4489 0.0000 0.4892 [2 per cell]

The theoretical density is 5.676 Mg/m³. As for the crystal system: monoclinic. The calculation puts the energy above the most stable polymorph in this dataset at 118.9 meV per atom. The calculation puts the energy relative to the elements, uncorrected at -0.392 eV/atom. For the total energy, the calculation gives -4.8572 eV/atom. The magnetization is 0.026 μB/cell.